Entry from Alexandria: an optimized crystal structure of Li5CePd6 (PBE).

a = 4.176 Å, b = 7.041 Å, c = 12.431 Å
α = 90.00°, β = 90.00°, γ = 90.00°
Space group Immm (No. 71)
Unique sites:
Li  0.000  0.000  0.000 (multiplicity 2)
Li  0.000  0.000  0.320 (multiplicity 4)
Li  0.000  0.500  0.330 (multiplicity 4)
Ce  0.000  0.500  0.000 (multiplicity 2)
Pd  0.000  0.248  0.169 (multiplicity 8)
Pd  0.000  0.269  0.500 (multiplicity 4)

Results
V   15.229 Å³ per atom
ρ   7.4 g/cm³
Formation energy from the elements   -0.520 eV/atom
Total energy   -4.4082 eV per atom